No. 1
## ZrSc2Zn (PBE-GGA)

Data for a relaxed ZrSc2Zn crystal.

abc: 3.2991 4.1861 6.1672
angles: 90.00 90.00 90.00
With the nearest neighbours (Å) after each atom.
Positions (direct):
Zr  0.0000  0.0000  0.0000  6 Sc 2.99-3.18, 4 Zn 3.06, 2 Zr 3.30
Sc  0.0000  0.0000  0.5155  2 Zr 2.99-3.18, 4 Zn 3.05, 6 Sc 3.14-3.30
Sc  0.5000  0.5000  0.2453  2 Zn 3.01-3.16, 4 Zr 3.06, 6 Sc 3.14-3.30
Zn  0.5000  0.5000  0.7572  6 Sc 3.01-3.16, 4 Zr 3.06, 2 Zn 3.30

total magnetization: 0.00 μB per atom
DFT formation energy: -24 kJ/mol of formula units


No. 2
## ZrScZn2 (PBE-GGA)

Data for a relaxed ZrScZn2 crystal.

abc: 5.4275 5.4275 5.4275
angles: 136.21 136.21 63.66
With the nearest neighbours (Å) after each atom.
Positions (direct):
Zr  0.0000  0.0000  0.0000  8 Zn 2.86-3.07, 4 Sc 3.07
Sc  0.2500  0.7500  0.5000  8 Zn 2.86-3.07, 4 Zr 3.07
Zn  0.5000  0.5000  0.0000  4 Zr 2.86, 4 Sc 3.07, 4 Zn 3.07
Zn  0.7500  0.2500  0.5000  4 Sc 2.86, 4 Zn 3.07, 4 Zr 3.07

total magnetization: 0.00 μB per atom
DFT formation energy: -51 kJ/mol of formula units